(1)
18
Lattice="-0.154 0.192 -3.297 2.786 -6.154 1.168 -8.893 -3.991 0.183" Properties=species:S:1:pos:R:3 comment="PBE LiTb2InO5, optimized geometry" spacegroup="Cmc2_1 (36)" formation_energy_uncorrected_mev_per_atom=-2618 pbc="T T T"
Li -8.728 -4.008 -1.483
Li -1.661 -7.797 -0.377
Tb -5.106 -7.641 -1.864
Tb -5.502 -4.055 0.021
Tb -1.956 -2.670 -0.064
Tb 0.395 -5.380 -1.990
In -2.891 -5.557 -1.847
In 1.071 -2.402 -0.190
O 1.934 -4.403 -0.347
O -6.556 -5.693 -1.683
O -7.039 -3.043 -1.506
O -4.317 -6.134 -0.156
O -2.632 -7.668 -1.982
O -3.806 -3.580 -1.688
O -1.470 -5.051 -0.226
O 0.183 -7.177 -0.427
O -0.364 -3.110 -1.822
O -0.328 -0.804 -0.031

---

(2)
7
Lattice="3.434 -5.947 0.000 3.434 5.947 0.000 0.000 0.000 6.149" Properties=species:S:1:pos:R:3 comment="PBE Ba3Sc4, optimized geometry" delta_e_f_mev_per_atom=709 spacegroup="P6/mmm (191)" pbc="T T T"
Ba 1.717 2.974 0.000
Ba 3.434 0.000 0.000
Ba 1.717 -2.974 0.000
Sc 0.000 0.000 1.627
Sc 0.000 0.000 4.523
Sc 3.434 -1.982 3.075
Sc 3.434 1.982 3.075

---

(3)
4
Lattice="4.809 0.001 -0.006 3.988 2.687 -0.006 0.842 0.257 4.542" Properties=species:S:1:pos:R:3 comment="PBE MgNiPt2, optimized geometry" delta_e_f_mev_per_atom=-406 spacegroup="Cm (8)" pbc="T T T"
Mg 4.835 1.478 2.322
Ni 2.420 0.740 1.027
Pt 8.788 2.686 0.111
Pt 7.210 2.204 3.324

---

(4)
4
Lattice="-4.075 1.903 -1.748 -2.490 -0.578 -4.093 -4.923 -3.881 0.776" Properties=species:S:1:pos:R:3 comment="PBE NiPb2Au, optimized geometry" delta_e_f_mev_per_atom=107 spacegroup="Cm (8)" pbc="T T T"
Au -5.416 -0.697 -2.925
Ni -3.497 -1.162 -1.134
Pb -6.489 0.961 -5.403
Pb -8.396 -1.608 -3.975

---

(5)
6
Lattice="3.306 0.000 0.000 0.000 3.306 0.000 0.000 0.000 10.320" Properties=species:S:1:pos:R:3 comment="PBE DyZr2Rh3, optimized geometry" delta_e_f_mev_per_atom=-805 spacegroup="P4/mmm (123)" pbc="T T T"
Dy 1.653 1.653 5.160
Zr 1.653 1.653 8.636
Zr 1.653 1.653 1.684
Rh 0.000 0.000 0.000
Rh 0.000 0.000 7.104
Rh 0.000 0.000 3.216

---

(6)
11
Lattice="4.310 0.000 0.000 0.000 6.611 0.198 -2.155 -2.498 6.865" Properties=species:S:1:pos:R:3 comment="PBE Sm2Pd8Au, optimized geometry" delta_e_f_mev_per_atom=-474 spacegroup="C2/m (12)" pbc="T T T"
Sm 2.155 0.786 3.984
Sm 0.000 3.328 3.078
Pd 0.000 1.660 5.750
Pd 2.155 5.078 2.477
Pd 2.155 3.674 5.077
Pd 2.155 -0.517 6.464
Pd 0.000 0.440 1.985
Pd 0.000 -0.964 4.585
Pd 2.155 2.454 1.312
Pd 0.000 4.630 0.598
Au 2.155 0.000 0.000

---

| no. | D(E_F) (states/eV/cell) |
| --- | --- |
| 1 | 0.00 |
| 2 | 10.76 |
| 3 | 4.54 |
| 4 | 2.75 |
| 5 | 5.65 |
| 6 | 3.68 |